First-principles (PBE+U) data for a geometry-optimized CrAgPO2 structure, as listed in the Alexandria database.

Values from the calculation:
Raw total energy (eV per atom): -5.531
Magnetization (μB per atom): 0.2284

Cell and atoms, written as CIF:
```
data_CrAgPO2
_chemical_formula_sum 'Cr1 Ag1 P1 O2'
_cell_length_a 3.6593
_cell_length_b 3.6593
_cell_length_c 5.4437
_cell_angle_alpha 90.00
_cell_angle_beta 90.00
_cell_angle_gamma 90.00
_symmetry_space_group_name_H-M 'P 1'
_symmetry_Int_Tables_number 1
loop_
_symmetry_equiv_pos_as_xyz
'x,y,z'
loop_
_atom_site_label
_atom_site_fract_x
_atom_site_fract_y
_atom_site_fract_z
_atom_site_occupancy
Cr1 0.0000 0.0000 0.0000 1
Ag1 0.5000 0.5000 0.5000 1
P1 0.0000 0.0000 0.5000 1
O1 0.0000 0.5000 0.0000 1
O2 0.5000 0.0000 0.0000 1
```